A plane-wave DFT calculation with PBE-GGA was carried out for RbNiBi2N after structural relaxation.

Results
**Uncorrected energy**: -18.50 eV per cell
**Space-group type**: P4/mmm

a b c (Å): 4.858 5.381 4.858
angles (deg): 90.00 90.00 90.00
Sites, in units of the cell vectors:
Ni: 0.500 0.500 0.500
Bi: 0.000 0.000 0.500
Bi: 0.500 0.000 0.000
Rb: 0.000 0.500 0.000
N: 0.000 0.000 0.000

***

A plane-wave DFT calculation with PBE-GGA was carried out for RbNi2BiN after structural relaxation.

Results
**Uncorrected energy**: -20.07 eV per cell
**Space-group type**: P4/mmm

a b c (Å): 4.198 5.256 4.198
angles (deg): 90.00 90.00 90.00
Sites, in units of the cell vectors:
Ni: 0.000 0.000 0.500
Ni: 0.500 0.000 0.000
Bi: 0.500 0.500 0.500
Rb: 0.000 0.500 0.000
N: 0.000 0.000 0.000

***

A plane-wave DFT calculation with PBE-GGA was carried out for ReNiBi2N after structural relaxation.

Results
**Uncorrected energy**: -30.72 eV per cell
**Space-group type**: P4/mmm

a b c (Å): 5.070 3.818 5.070
angles (deg): 90.00 90.00 90.00
Sites, in units of the cell vectors:
Re: 0.000 0.500 0.000
N: 0.000 0.000 0.000
Bi: 0.000 0.000 0.500
Bi: 0.500 0.000 0.000
Ni: 0.500 0.500 0.500

***

A plane-wave DFT calculation with PBE-GGA was carried out for NiBi2RhN after structural relaxation.

Results
**Uncorrected energy**: -21.83 eV per cell
**Space-group type**: P4/mmm

a b c (Å): 5.172 5.172 4.652
angles (deg): 90.00 90.00 90.00
Sites, in units of the cell vectors:
Ni: 0.000 0.000 0.500
Rh: 0.000 0.000 0.000
Bi: 0.000 0.500 0.000
Bi: 0.500 0.000 0.000
N: 0.500 0.500 0.500

***

A plane-wave DFT calculation with PBE-GGA was carried out for NiBiSeN2 after structural relaxation.

Results
**ΔE to the lowest computed polymorph**: 0.742 eV/atom
**Space-group type**: P4/mmm

a b c (Å): 4.245 4.245 5.823
angles (deg): 90.00 90.00 90.00
Sites, in units of the cell vectors:
Ni: 0.500 0.500 0.500
Bi: 0.000 0.000 0.000
Se: 0.000 0.000 0.500
N: 0.000 0.500 0.000
N: 0.500 0.000 0.000

***

A plane-wave DFT calculation with PBE-GGA was carried out for NiBiSeN2 after structural relaxation.

Results
**ΔE to the lowest computed polymorph**: 0.000 eV/atom
**Space-group type**: P4/mmm

a b c (Å): 3.990 3.990 4.884
angles (deg): 90.00 90.00 90.00
Sites, in units of the cell vectors:
Ni: 0.000 0.000 0.000
Bi: 0.500 0.500 0.500
Se: 0.000 0.000 0.500
N: 0.000 0.500 0.000
N: 0.500 0.000 0.000

***

A plane-wave DFT calculation with PBE-GGA was carried out for Sr2NiBiN after structural relaxation.

Results
**Uncorrected energy**: -24.35 eV per cell
**Space-group type**: P4/mmm

a b c (Å): 5.787 5.787 3.578
angles (deg): 90.00 90.00 90.00
Sites, in units of the cell vectors:
Sr: 0.000 0.500 0.000
Sr: 0.500 0.000 0.000
N: 0.000 0.000 0.000
Bi: 0.500 0.500 0.500
Ni: 0.000 0.000 0.500

***

A plane-wave DFT calculation with PBE-GGA was carried out for NiBiTeN2 after structural relaxation.

Results
**ΔE to the lowest computed polymorph**: 0.000 eV/atom
**Space-group type**: P4/mmm

a b c (Å): 4.143 4.143 5.096
angles (deg): 90.00 90.00 90.00
Sites, in units of the cell vectors:
Ni: 0.000 0.000 0.000
Te: 0.000 0.000 0.500
Bi: 0.500 0.500 0.500
N: 0.000 0.500 0.000
N: 0.500 0.000 0.000

***

A plane-wave DFT calculation with PBE-GGA was carried out for NiBiTeN2 after structural relaxation.

Results
**ΔE to the lowest computed polymorph**: 0.481 eV/atom
**Space-group type**: P4/mmm

a b c (Å): 4.224 4.224 6.495
angles (deg): 90.00 90.00 90.00
Sites, in units of the cell vectors:
Ni: 0.500 0.500 0.500
Te: 0.000 0.000 0.500
Bi: 0.000 0.000 0.000
N: 0.000 0.500 0.000
N: 0.500 0.000 0.000

***

A plane-wave DFT calculation with PBE-GGA was carried out for TlNi2BiN after structural relaxation.

Results
**Uncorrected energy**: -15.06 eV per cell
**Space-group type**: P4/mmm

a b c (Å): 4.682 5.838 4.682
angles (deg): 90.00 90.00 90.00
Sites, in units of the cell vectors:
Ni: 0.000 0.000 0.500
Ni: 0.500 0.000 0.000
Tl: 0.000 0.000 0.000
Bi: 0.000 0.500 0.000
N: 0.500 0.500 0.500

***

A plane-wave DFT calculation with PBE-GGA was carried out for Y2NiBiN after structural relaxation.

Results
**Uncorrected energy**: -34.82 eV per cell
**Space-group type**: P4/mmm

a b c (Å): 5.000 5.000 3.906
angles (deg): 90.00 90.00 90.00
Sites, in units of the cell vectors:
Y: 0.000 0.500 0.000
Y: 0.500 0.000 0.000
Ni: 0.000 0.000 0.500
Bi: 0.500 0.500 0.500
N: 0.000 0.000 0.000

***

A plane-wave DFT calculation with PBE-GGA was carried out for NpBiN after structural relaxation.

Results
**ΔE to the lowest computed polymorph**: 0.571 eV/atom
**Space-group type**: I4/mmm

a b c (Å): 3.896 3.896 8.520
angles (deg): 103.22 103.22 90.00
Sites, in units of the cell vectors:
Np: 0.072 0.072 0.143
Np: 0.928 0.928 0.857
Bi: 0.308 0.308 0.616
Bi: 0.692 0.692 0.384
N: 0.500 0.000 0.000
N: 0.000 0.500 0.000

***

A plane-wave DFT calculation with PBE-GGA was carried out for NpBiN after structural relaxation.

Results
**ΔE to the lowest computed polymorph**: 0.284 eV/atom
**Space-group type**: P-6m2

a b c (Å): 5.559 3.711 3.711
angles (deg): 120.00 90.00 90.00
Sites, in units of the cell vectors:
Np: 0.167 0.667 0.333
Bi: 0.667 0.333 0.667
N: 0.167 0.000 0.000

***

A plane-wave DFT calculation with PBE-GGA was carried out for NpBiN after structural relaxation.

Results
**ΔE to the lowest computed polymorph**: 0.341 eV/atom
**Space-group type**: I4mm

a b c (Å): 3.198 3.198 6.767
angles (deg): 103.67 103.67 90.00
Sites, in units of the cell vectors:
Np: 0.730 0.730 0.459
Bi: 0.003 0.003 0.006
N: 0.267 0.267 0.534

***

A plane-wave DFT calculation with PBE-GGA was carried out for NpBiN after structural relaxation.

Results
**ΔE to the lowest computed polymorph**: 0.000 eV/atom
**Space-group type**: P4/nmm

a b c (Å): 4.001 4.001 7.823
angles (deg): 90.00 90.00 90.00
Sites, in units of the cell vectors:
Np: 0.814 0.866 0.054
Np: 0.314 0.366 0.785
Bi: 0.814 0.866 0.521
Bi: 0.314 0.366 0.318
N: 0.814 0.366 0.920
N: 0.314 0.866 0.920

***

A plane-wave DFT calculation with PBE-GGA was carried out for NpBiSe2N after structural relaxation.

Results
**Uncorrected energy**: -72.05 eV per cell
**Space-group type**: P4/nmm

a b c (Å): 3.974 3.974 15.121
angles (deg): 90.00 90.00 90.00
Sites, in units of the cell vectors:
Np: 0.500 0.000 0.573
Np: 0.000 0.500 0.427
Bi: 0.500 0.000 0.142
Bi: 0.000 0.500 0.858
Se: 0.000 0.500 0.676
Se: 0.000 0.500 0.094
Se: 0.500 0.000 0.906
Se: 0.500 0.000 0.324
N: 0.000 0.000 0.500
N: 0.500 0.500 0.500

***

A plane-wave DFT calculation with PBE-GGA was carried out for ThNpBiN2 after structural relaxation.

Results
**Uncorrected energy**: -46.87 eV per cell
**Space-group type**: I4mm

a b c (Å): 3.977 3.977 7.235
angles (deg): 105.95 105.95 90.00
Sites, in units of the cell vectors:
Th: 0.162 0.162 0.323
Np: 0.833 0.833 0.666
Bi: 0.493 0.493 0.985
N: 0.756 0.256 0.513
N: 0.256 0.756 0.513

***

A plane-wave DFT calculation with PBE-GGA was carried out for NpUBiN2 after structural relaxation.

Results
**Uncorrected energy**: -50.01 eV per cell
**Space-group type**: I4mm

a b c (Å): 3.886 3.886 7.007
angles (deg): 106.10 106.10 90.00
Sites, in units of the cell vectors:
Np: 0.839 0.839 0.678
U: 0.165 0.165 0.330
Bi: 0.502 0.502 0.003
N: 0.747 0.247 0.494
N: 0.247 0.747 0.494

***

A plane-wave DFT calculation with PBE-GGA was carried out for BiN3O after structural relaxation.

Results
**Uncorrected energy**: -22.56 eV per cell
**Space-group type**: Pm-3m

a b c (Å): 3.761 3.761 3.761
angles (deg): 90.00 90.00 90.00
Sites, in units of the cell vectors:
Bi: 0.500 0.500 0.500
O: 0.000 0.000 0.000
N: 0.000 0.500 0.000
N: 0.000 0.000 0.500
N: 0.500 0.000 0.000

***

A plane-wave DFT calculation with PBE-GGA was carried out for BiN3O after structural relaxation.

Results
**Uncorrected energy**: -20.37 eV per cell
**Space-group type**: Pm-3m

a b c (Å): 4.369 4.369 4.369
angles (deg): 90.00 90.00 90.00
Sites, in units of the cell vectors:
Bi: 0.000 0.000 0.000
O: 0.500 0.500 0.500
N: 0.000 0.500 0.000
N: 0.000 0.000 0.500
N: 0.500 0.000 0.000

***

A plane-wave DFT calculation with PBE-GGA was carried out for BiNO after structural relaxation.

Results
**Uncorrected energy**: -74.79 eV per cell
**Space-group type**: P2_1/c

a b c (Å): 4.455 6.925 9.463
angles (deg): 89.35 90.00 90.00
Sites, in units of the cell vectors:
O: 0.258 0.749 0.581
O: 0.758 0.751 0.419
O: 0.742 0.251 0.419
O: 0.242 0.249 0.581
N: 0.490 0.934 0.967
N: 0.990 0.566 0.033
N: 0.510 0.066 0.033
N: 0.010 0.434 0.967
Bi: 0.257 0.756 0.355
Bi: 0.757 0.744 0.645
Bi: 0.743 0.244 0.645
Bi: 0.243 0.256 0.355

***

A plane-wave DFT calculation with PBE-GGA was carried out for BiNO after structural relaxation.

Results
**Uncorrected energy**: -74.04 eV per cell
**Space-group type**: P-1

a b c (Å): 7.003 6.163 10.075
angles (deg): 97.76 57.08 77.72
Sites, in units of the cell vectors:
Bi: 0.741 0.754 0.119
Bi: 0.469 0.729 0.939
Bi: 0.531 0.271 0.061
Bi: 0.259 0.246 0.881
N: 0.904 0.037 0.523
N: 0.458 0.431 0.510
N: 0.542 0.569 0.490
N: 0.096 0.963 0.477
O: 0.137 0.618 0.004
O: 0.214 0.104 0.075
O: 0.786 0.896 0.925
O: 0.863 0.382 0.996

***

A plane-wave DFT calculation with PBE-GGA was carried out for Bi2N2O3 after structural relaxation.

Results
**Uncorrected energy**: -44.67 eV per cell
**Space-group type**: P-1

a b c (Å): 3.499 5.555 12.195
angles (deg): 125.82 73.92 71.59
Sites, in units of the cell vectors:
Bi: 0.071 0.083 0.884
Bi: 0.929 0.917 0.116
N: 0.420 0.129 0.516
N: 0.580 0.871 0.484
O: 0.500 0.000 0.000
O: 0.542 0.660 0.132
O: 0.458 0.340 0.868

***

A plane-wave DFT calculation with PBE-GGA was carried out for BiOsNO2 after structural relaxation.

Results
**Uncorrected energy**: -26.32 eV per cell
**Space-group type**: P4/mmm

a b c (Å): 4.201 4.201 4.365
angles (deg): 90.00 90.00 90.00
Sites, in units of the cell vectors:
Os: 0.500 0.500 0.500
Bi: 0.000 0.000 0.000
O: 0.000 0.500 0.000
O: 0.500 0.000 0.000
N: 0.000 0.000 0.500

***

A plane-wave DFT calculation with PBE-GGA was carried out for BiOsNO2 after structural relaxation.

Results
**Uncorrected energy**: -33.10 eV per cell
**Space-group type**: P4/mmm

a b c (Å): 3.651 6.324 3.651
angles (deg): 90.00 90.00 90.00
Sites, in units of the cell vectors:
Os: 0.000 0.000 0.000
Bi: 0.000 0.500 0.000
O: 0.000 0.000 0.500
O: 0.500 0.000 0.000
N: 0.500 0.500 0.500

***

A plane-wave DFT calculation with PBE-GGA was carried out for BiOsNO2 after structural relaxation.

Results
**Uncorrected energy**: -33.99 eV per cell
**Space-group type**: P4/mmm

a b c (Å): 4.108 4.108 3.799
angles (deg): 90.00 90.00 90.00
Sites, in units of the cell vectors:
Os: 0.000 0.000 0.000
Bi: 0.500 0.500 0.500
O: 0.000 0.500 0.000
O: 0.500 0.000 0.000
N: 0.000 0.000 0.500

***

A plane-wave DFT calculation with PBE-GGA was carried out for BiPN2O after structural relaxation.

Results
**Uncorrected energy**: -22.51 eV per cell
**Space-group type**: P4/mmm

a b c (Å): 4.319 4.319 4.107
angles (deg): 90.00 90.00 90.00
Sites, in units of the cell vectors:
P: 0.500 0.500 0.500
Bi: 0.000 0.000 0.000
O: 0.000 0.000 0.500
N: 0.000 0.500 0.000
N: 0.500 0.000 0.000

***

A plane-wave DFT calculation with PBE-GGA was carried out for BiPN2O after structural relaxation.

Results
**Uncorrected energy**: -30.10 eV per cell
**Space-group type**: P4/mmm

a b c (Å): 3.737 3.737 3.631
angles (deg): 90.00 90.00 90.00
Sites, in units of the cell vectors:
P: 0.000 0.000 0.000
Bi: 0.500 0.500 0.500
O: 0.000 0.000 0.500
N: 0.000 0.500 0.000
N: 0.500 0.000 0.000